DFT (PBE with a Hubbard U) results for crystalline LiEuW2O8 at its relaxed geometry.

Properties
As for the total energy: -7.75 eV per atom.

Geometry as POSCAR:
```
LiEuW2O8
1.0
-4.1604 2.5030 -3.7760
-2.1099 -4.5691 -0.7040
-8.0953 -2.4380 7.3034
O W Li Eu
16 4 2 2
direct
0.6370 0.2823 0.1055 O
0.1078 0.8477 0.5955 O
0.1078 0.1523 0.9045 O
0.0848 0.3420 0.1084 O
0.3630 0.2823 0.6055 O
0.9152 0.3420 0.6084 O
0.3630 0.7177 0.8945 O
0.3476 0.2273 0.3646 O
0.8922 0.1523 0.4045 O
0.9152 0.6580 0.8916 O
0.8922 0.8477 0.0955 O
0.6524 0.7727 0.6354 O
0.3476 0.7727 0.1354 O
0.6524 0.2273 0.8646 O
0.0848 0.6580 0.3916 O
0.6370 0.7177 0.3945 O
0.1655 0.7360 0.0138 W
0.8345 0.2640 0.9862 W
0.1655 0.2640 0.4862 W
0.8345 0.7360 0.5138 W
0.7651 0.0000 0.7500 Li
0.2349 0.0000 0.2500 Li
0.6623 0.5000 0.2500 Eu
0.3377 0.5000 0.7500 Eu
```